[1]
## Al2Os (GGA-PBE)

Data for a geometry-optimized Al2Os structure.

```
Al2Os
1.0
-2.336 -2.051 3.903
0.577 -2.493 4.283
0.167 4.725 4.222
Os Al
2 4
Direct
0.270 0.270 0.970 Os
0.958 0.958 0.581 Os
0.987 0.987 0.981 Al
0.333 0.333 0.349 Al
0.672 0.672 0.686 Al
0.614 0.614 0.267 Al
```

E (eV/atom): -6.52
ΔE_f (eV per formula unit): -0.834
Space group: Cm
Total magnetic moment (Bohr magnetons per cell): 0.0
DOS at the Fermi energy (states/eV/atom): 0.475

[2]
## AlOs5 (GGA-PBE)

Data for a geometry-optimized AlOs5 structure.

```
AlOs5
1.0
2.484 -4.303 0.000
2.484 4.303 0.000
0.000 0.000 4.644
Os Al
5 1
Direct
0.000 0.500 0.500 Os
0.667 0.333 0.000 Os
0.500 0.000 0.500 Os
0.333 0.667 0.000 Os
0.500 0.500 0.500 Os
0.000 0.000 0.000 Al
```

Relative energy among the computed polymorphs (eV/atom): 0.799
E (eV/atom): -9.23
ΔE_f (eV per formula unit): 4.522
Space group: P6/mmm
Total magnetic moment (Bohr magnetons per cell): 0.0
DOS at the Fermi energy (states/eV/atom): 1.426

[3]
## Al3Os (GGA-PBE)

Data for a geometry-optimized Al3Os structure.

```
Al3Os
1.0
3.697 -3.904 0.000
3.697 3.904 0.000
0.000 0.000 4.498
Os Al
2 6
Direct
0.376 0.624 0.250 Os
0.624 0.376 0.750 Os
0.472 0.869 0.750 Al
0.131 0.528 0.750 Al
0.931 0.069 0.750 Al
0.869 0.472 0.250 Al
0.069 0.931 0.250 Al
0.528 0.131 0.250 Al
```

E (eV/atom): -5.65
ΔE_f (eV per formula unit): -0.133
Space group: Cmcm
Total magnetic moment (Bohr magnetons per cell): 0.0
DOS at the Fermi energy (states/eV/atom): 0.429

[4]
## Al3Os (GGA-PBE)

Data for a geometry-optimized Al3Os structure.

```
Al3Os
1.0
4.944 0.000 0.001
-2.185 4.435 0.001
-2.185 -3.513 2.706
Os Al
1 3
Direct
0.000 0.500 0.500 Os
0.500 0.500 0.000 Al
0.500 0.000 0.500 Al
0.000 0.000 0.000 Al
```

E (eV/atom): -5.67
ΔE_f (eV per formula unit): -0.228
Space group: R-3m
Total magnetic moment (Bohr magnetons per cell): 0.0
DOS at the Fermi energy (states/eV/atom): 0.610